KZnRu2 | PBE | optimized geometry

abc: 4.5959 4.5959 4.5959
angles: 60.00 60.00 60.00
Last column: nearest neighbours and their distance in Å.
Element x y z (fractional)
K: 0.0000 0.0000 0.0000  4 Ru 2.81, 4 Zn 2.81
Zn: 0.2500 0.2500 0.2500  4 Ru 2.81, 4 K 2.81
Ru: 0.5000 0.5000 0.5000  4 Ru 2.81, 4 Zn 2.81
Ru: 0.7500 0.7500 0.7500  4 K 2.81, 4 Ru 2.81

Summary:
As for the energy of formation from the pure elements: 1039.2 meV per atom. Its total moment is 0.0 Bohr magnetons per cell. The crystal system is cubic. The value obtained for the density of states at the Fermi level is 4.87 states/eV/f.u. As for the uncorrected energy: -4.192 eV per atom.



CrCdAs2 | PBE | optimized geometry

abc: 4.1993 4.1547 5.7562
angles: 90.00 90.15 90.00
Last column: nearest neighbours and their distance in Å.
Element x y z (fractional)
Cr: 0.0000 0.0000 0.0000  4 As 2.39
Cd: 0.5018 0.5000 0.5009  4 As 2.71
As: 0.0003 0.5000 0.2041  2 Cr 2.39
As: 0.4993 0.0000 0.8031  2 Cr 2.39

Summary:
As for the energy of formation from the pure elements: 143.0 meV per atom. Its total moment is 2.0 Bohr magnetons per cell. The crystal system is monoclinic. The value obtained for the density of states at the Fermi level is 1.72 states/eV/f.u. As for the uncorrected energy: -4.816 eV per atom.



La2TeRu | PBE | optimized geometry

abc: 3.7021 3.7021 7.8352
angles: 90.00 90.00 90.00
Last column: nearest neighbours and their distance in Å.
Element x y z (fractional)
La: 0.0000 0.0000 0.2224  4 Ru 3.14, 4 Te 3.40, 1 La 3.48
La: 0.0000 0.0000 0.7776  4 Ru 3.14, 4 Te 3.40, 1 La 3.48
Te: 0.5000 0.5000 0.5000  8 La 3.40, 4 Te 3.70
Ru: 0.5000 0.5000 0.0000  8 La 3.14

Summary:
Its total moment is 0.0 Bohr magnetons per cell. The calculation puts the energy relative to the elements, uncorrected at -16.717 kcal/mol of atoms. The crystal system is tetragonal. The value obtained for the density of states at the Fermi level is 1.17 states/eV/f.u. As for the uncorrected energy: -6.293 eV per atom.